No. 1
{"formula": "Ca4HPd", "functional": "PBE", "state": "optimized geometry", "cell": [[7.303, -0.359, 2.374], [-3.950, 6.152, 2.375], [-0.207, -0.359, 7.676]], "species": ["Pd", "Ca", "Ca", "H", "Ca", "Ca", "Ca", "Ca", "H", "Ca", "Ca", "Pd"], "frac_coords": [[0.125, 0.375, 0.750], [0.352, 0.295, 0.444], [0.795, 0.852, 0.944], [0.625, 0.875, 0.750], [0.205, 0.761, 0.444], [0.795, 0.239, 0.556], [0.648, 0.705, 0.556], [0.261, 0.705, 0.944], [0.375, 0.125, 0.250], [0.739, 0.295, 0.056], [0.205, 0.148, 0.056], [0.875, 0.625, 0.250]], "e_above_lowest_polymorph_ev_per_fu": 0.000, "dos_at_fermi_per_ev_atom": 0.64, "m_tot_mub_per_fu": 0.000, "space_group": "I4_1/amd"}


No. 2
{"formula": "CaH3Pd", "functional": "PBE", "state": "optimized geometry", "cell": [[2.865, 0.000, 4.981], [-1.432, 2.481, 4.981], [-1.432, -2.481, 4.981]], "species": ["Pd", "H", "Ca", "Ca", "Pd", "H", "H", "H", "H", "H"], "frac_coords": [[0.682, 0.682, 0.682], [0.577, 0.576, 0.093], [0.108, 0.108, 0.108], [0.892, 0.892, 0.892], [0.318, 0.318, 0.318], [0.093, 0.577, 0.576], [0.576, 0.093, 0.577], [0.424, 0.907, 0.423], [0.423, 0.424, 0.907], [0.907, 0.423, 0.424]], "dos_at_fermi_per_ev_atom": 0.09, "energy_ha_per_atom": -0.1403, "m_tot_mub_per_fu": 0.000, "space_group": "R-3m"}